1.
The following is a SCAN calculation of a crystal of Cs4U2V2O13 relaxed with PBEsol, from Alexandria via LeMat-Bulk.

```
Cs4U2V2O13
1.0
7.1337 0.0000 0.0000
0.0000 8.3704 0.0000
0.0000 0.0000 13.5743
Cs U V O
8 4 4 26
Direct
0.5111 0.5000 0.8053
0.4889 0.0000 0.6947
0.8681 0.0000 0.5000
0.1319 0.5000 0.0000
0.7599 0.5000 0.5000
0.4889 0.0000 0.3053
0.5111 0.5000 0.1947
0.2401 0.0000 0.0000
0.0000 0.2500 0.7500
0.0000 0.7500 0.2500
0.0000 0.2500 0.2500
0.0000 0.7500 0.7500
0.2821 0.2894 0.5000
0.2821 0.7106 0.5000
0.7179 0.2106 0.0000
0.7179 0.7894 0.0000
0.1577 0.2348 0.6027
0.9491 0.0000 0.2602
0.4859 0.8034 0.5000
0.7750 0.2851 0.6820
0.8423 0.7348 0.8973
0.8423 0.7348 0.1027
0.1577 0.2348 0.3973
0.1577 0.7652 0.3973
0.7750 0.7149 0.6820
0.2250 0.2149 0.8180
0.8423 0.2652 0.8973
0.0509 0.5000 0.2398
0.2250 0.7851 0.8180
0.8423 0.2652 0.1027
0.3259 0.5000 0.5000
0.0509 0.5000 0.7602
0.7750 0.7149 0.3180
0.1577 0.7652 0.6027
0.5141 0.3034 0.0000
0.7750 0.2851 0.3180
0.6741 0.0000 0.0000
0.9491 0.0000 0.7398
0.2250 0.2149 0.1820
0.2250 0.7851 0.1820
0.5141 0.6966 0.0000
0.4859 0.1966 0.5000
```

Results
- DFT total energy (eV/atom) = -25.434
- density of states at the Fermi level (states/eV/atom) = 0.000
- magnetic moment (μB/f.u.) = 0.0


2.
The following is a SCAN calculation of a crystal of Cs2V4O9 relaxed with PBEsol, from Alexandria via LeMat-Bulk.

```
Cs2V4O9
1.0
-4.1011 -3.4056 1.9861
-1.3776 -1.4473 -5.3263
12.5474 -9.0460 2.2506
Cs V O
4 8 18
Direct
0.3930 0.8750 0.2500
0.8570 0.3750 0.2500
0.6250 0.6070 0.7500
0.1250 0.1430 0.7500
0.2638 0.8278 0.9521
0.9862 0.6257 0.5479
0.0778 0.0138 0.4521
0.8757 0.7362 0.0479
0.5617 0.9222 0.5479
0.6883 0.1243 0.9521
0.3743 0.4383 0.4521
0.1722 0.3117 0.0479
0.2500 0.7500 0.5000
0.0000 0.0000 0.0000
0.5559 0.0503 0.6502
0.1557 0.6997 0.8498
0.0943 0.5999 0.6502
0.6941 0.1501 0.8498
0.4001 0.4441 0.3498
0.3003 0.3059 0.1502
0.9497 0.9057 0.3498
0.8499 0.8443 0.1502
0.4142 0.1125 0.4649
0.1992 0.6375 0.0351
0.0508 0.3525 0.4649
0.8358 0.3975 0.0351
0.6475 0.5858 0.5351
0.3625 0.1642 0.9649
0.8875 0.9492 0.5351
0.6025 0.8008 0.9649
```

Results
- DFT total energy (eV/atom) = -16.062
- magnetic moment (μB/f.u.) = 4.0